NbAl2Cr after structural relaxation, computed with PBE.

The formation energy comes out at -0.131 eV per atom. The energy above the most stable polymorph in this dataset comes out at 0.035 eV/atom. The volume comes out at 61.3 Å³/cell.

a = 2.9026 Å, b = 2.9026 Å, c = 7.2810 Å
α = 90.00°, β = 90.00°, γ = 90.00°
Last column: nearest neighbours and their distance in Å.
Atoms (fractional coordinates):
Al: 0.0000 0.0000 0.2228  4 Cr 2.62, 4 Nb 2.88, 4 Al 2.90
Al: 0.0000 0.0000 0.7772  4 Cr 2.62, 4 Nb 2.88, 4 Al 2.90
Cr: 0.5000 0.5000 0.0000  8 Al 2.62, 4 Cr 2.90
Nb: 0.5000 0.5000 0.5000  8 Al 2.88, 4 Nb 2.90